PBE ZrPPd, optimized geometry; SG = R3m (160); density of states at the Fermi level = 0.911 states/eV/f.u.; M_tot = 0.00 μB/cell; volume = 17.7 Å³/atom; final energy = -7.28 eV per atom
1.0
4.0697 0.0000 0.0000
-2.0349 3.5245 0.0000
0.0000 0.0000 22.2230
Zr P Pd
6 6 6
Cartesian
0.0000 0.0000 16.5711
0.0000 2.3497 9.1635
2.0349 1.1748 1.7558
0.0000 0.0000 13.1173
0.0000 2.3497 5.7096
2.0349 1.1748 20.5249
0.0000 0.0000 0.0415
0.0000 2.3497 14.8568
2.0349 1.1748 7.4492
0.0000 0.0000 10.5508
0.0000 2.3497 3.1431
2.0349 1.1748 17.9584
0.0000 0.0000 3.8340
0.0000 2.3497 18.6493
2.0349 1.1748 11.2416
0.0000 0.0000 7.1532
0.0000 2.3497 21.9685
2.0349 1.1748 14.5609

PBE EuYAgHg, optimized geometry; SG = F-43m (216); density of states at the Fermi level = 7.026 states/eV/f.u.; M_tot = 7.24 μB/cell; volume = 26.5 Å³/atom; final energy = -5.35 eV per atom
1.0
5.3154 0.0000 0.0000
2.6577 4.6033 0.0000
2.6577 1.5344 4.3400
Eu Y Hg Ag
1 1 1 1
Cartesian
5.3154 3.0689 2.1700
0.0000 0.0000 0.0000
2.6577 1.5344 1.0850
7.9731 4.6033 3.2550